EuHo2Tc | PBE-GGA | optimized geometry

For the size of the total moment, the calculation gives 7.52 μB per formula unit. For the volume, the calculation gives 116 Å³/cell. As for the formation energy: 242 meV per atom.

Cell lengths 3.5015, 3.5015, 11.0698 Å; angles 80.90, 80.90, 60.00 degrees
Last column: magnetic moment on the atom in μB.
Element x y z (fractional)
Tc: 0.5000 0.5000 0.5000  -0.03
Eu: 0.0000 0.0000 0.0000  7.07
Ho: 0.8933 0.8933 0.3202  0.01
Ho: 0.1067 0.1067 0.6798  0.01

***

EuHo3Tc | PBE-GGA | optimized geometry

For the size of the total moment, the calculation gives 7.00 μB per formula unit. For the volume, the calculation gives 160 Å³/cell. As for the formation energy: 45 meV per atom.

Cell lengths 5.4261, 5.4261, 5.4261 Å; angles 90.00, 90.00, 90.00 degrees
Last column: magnetic moment on the atom in μB.
Element x y z (fractional)
Tc: 0.0000 0.0000 0.0000  -0.11
Eu: 0.5000 0.5000 0.5000  6.86
Ho: 0.0000 0.5000 0.0000  0.00
Ho: 0.5000 0.0000 0.0000  0.00
Ho: 0.0000 0.0000 0.5000  0.00

***

EuHoTe2 | PBE-GGA | optimized geometry

For the size of the total moment, the calculation gives 7.02 μB per formula unit. For the volume, the calculation gives 126 Å³/cell. The formation energy without anion corrections is -1.48 eV per atom.

Cell lengths 4.4355, 4.4355, 7.8135 Å; angles 73.51, 73.51, 60.00 degrees
Last column: magnetic moment on the atom in μB.
Element x y z (fractional)
Te: 0.7450 0.7450 0.7650  0.02
Te: 0.2550 0.2550 0.2350  0.02
Eu: 0.5000 0.5000 0.5000  -6.86
Ho: 0.0000 0.0000 0.0000  0.02

***

EuHo2Te | PBE-GGA | optimized geometry

For the size of the total moment, the calculation gives 7.70 μB per formula unit. For the volume, the calculation gives 143 Å³/cell. The formation energy without anion corrections is -0.29 eV per atom.

Cell lengths 3.8783, 3.8783, 11.2303 Å; angles 80.06, 80.06, 60.00 degrees
Last column: magnetic moment on the atom in μB.
Element x y z (fractional)
Ho: 0.1056 0.1056 0.6831  -0.05
Ho: 0.8944 0.8944 0.3169  -0.05
Eu: 0.0000 0.0000 0.0000  -7.01
Te: 0.5000 0.5000 0.5000  0.00

***

EuHoTe | PBE-GGA | optimized geometry

For the size of the total moment, the calculation gives 7.86 μB per formula unit. For the volume, the calculation gives 100 Å³/cell. The formation energy without anion corrections is -0.59 eV per atom.

Cell lengths 4.2283, 5.2274, 5.2274 Å; angles 120.00, 90.00, 90.00 degrees
Last column: magnetic moment on the atom in μB.
Element x y z (fractional)
Eu: 0.6667 0.6667 0.3333  6.96
Te: 0.1666 0.3333 0.6667  0.00
Ho: 0.1667 0.0000 0.0000  0.33

***

EuHoTh | PBE-GGA | optimized geometry

For the size of the total moment, the calculation gives 7.70 μB per formula unit. For the volume, the calculation gives 102 Å³/cell. As for the formation energy: 82 meV per atom.

Cell lengths 3.6178, 3.6178, 8.9594 Å; angles 90.00, 90.00, 120.00 degrees
Last column: magnetic moment on the atom in μB.
Element x y z (fractional)
Th: 0.6667 0.3333 0.3434  -0.03
Ho: 0.3333 0.6667 0.6528  -0.10
Eu: 0.0000 0.0000 0.0039  -7.00

***

EuHoTh2 | PBE-GGA | optimized geometry

For the size of the total moment, the calculation gives 7.77 μB per formula unit. For the volume, the calculation gives 135 Å³/cell. As for the formation energy: 214 meV per atom.

Cell lengths 3.5120, 3.5120, 12.8412 Å; angles 82.14, 82.14, 60.00 degrees
Last column: magnetic moment on the atom in μB.
Element x y z (fractional)
Ho: 0.5000 0.5000 0.5000  0.04
Eu: 0.0000 0.0000 0.0000  7.11
Th: 0.0897 0.0897 0.7309  0.04
Th: 0.9103 0.9103 0.2691  0.04

***

EuHoTh | PBE-GGA | optimized geometry

For the size of the total moment, the calculation gives 7.60 μB per formula unit. For the volume, the calculation gives 103 Å³/cell. As for the formation energy: 92 meV per atom.

Cell lengths 3.6164, 3.6164, 8.2529 Å; angles 102.66, 102.66, 90.00 degrees
Last column: magnetic moment on the atom in μB.
Element x y z (fractional)
Eu: 0.9967 0.9967 0.9933  6.96
Ho: 0.6774 0.6774 0.3548  0.00
Th: 0.3259 0.3259 0.6518  0.09

***

EuHo2Th | PBE-GGA | optimized geometry

For the size of the total moment, the calculation gives 7.18 μB per formula unit. For the volume, the calculation gives 131 Å³/cell. As for the formation energy: 129 meV per atom.

Cell lengths 4.9660, 5.1275, 5.1275 Å; angles 90.00, 90.00, 90.00 degrees
Last column: magnetic moment on the atom in μB.
Element x y z (fractional)
Ho: 0.0000 0.5000 0.0000  0.02
Ho: 0.0000 0.0000 0.5000  0.02
Eu: 0.5000 0.5000 0.5000  6.83
Th: 0.5000 0.0000 0.0000  0.01

***

EuHo2Th | PBE-GGA | optimized geometry

For the size of the total moment, the calculation gives 6.96 μB per formula unit. For the volume, the calculation gives 133 Å³/cell. As for the formation energy: 196 meV per atom.

Cell lengths 5.7324, 5.7324, 5.7324 Å; angles 60.00, 60.00, 60.00 degrees
Last column: magnetic moment on the atom in μB.
Element x y z (fractional)
Th: 0.5000 0.5000 0.5000  -0.08
Ho: 0.7500 0.7500 0.7500  -0.01
Ho: 0.2500 0.2500 0.2500  -0.01
Eu: 0.0000 0.0000 0.0000  6.84

***

EuHoTh2 | PBE-GGA | optimized geometry

For the size of the total moment, the calculation gives 7.39 μB per formula unit. For the volume, the calculation gives 133 Å³/cell. As for the formation energy: 128 meV per atom.

Cell lengths 3.5567, 3.5567, 10.4961 Å; angles 90.00, 90.00, 90.00 degrees
Last column: magnetic moment on the atom in μB.
Element x y z (fractional)
Ho: 0.5000 0.5000 0.0000  -0.04
Th: 0.0000 0.0000 0.2380  0.04
Th: 0.0000 0.0000 0.7620  0.04
Eu: 0.5000 0.5000 0.5000  6.90

***

EuHoTh2 | PBE-GGA | optimized geometry

For the size of the total moment, the calculation gives 7.22 μB per formula unit. For the volume, the calculation gives 131 Å³/cell. As for the formation energy: 149 meV per atom.

Cell lengths 5.1223, 5.0629, 5.0629 Å; angles 90.00, 90.00, 90.00 degrees
Last column: magnetic moment on the atom in μB.
Element x y z (fractional)
Th: 0.0000 0.5000 0.0000  0.03
Th: 0.0000 0.0000 0.5000  0.03
Ho: 0.5000 0.0000 0.0000  0.03
Eu: 0.5000 0.5000 0.5000  6.81

***

Eu2HoTh | PBE-GGA | optimized geometry

For the size of the total moment, the calculation gives 15.24 μB per formula unit. For the volume, the calculation gives 141 Å³/cell. As for the formation energy: 262 meV per atom.

Cell lengths 3.5371, 3.5371, 13.1582 Å; angles 82.28, 82.28, 60.00 degrees
Last column: magnetic moment on the atom in μB.
Element x y z (fractional)
Eu: 0.9113 0.9113 0.2661  7.03
Eu: 0.0887 0.0887 0.7339  7.03
Th: 0.0000 0.0000 0.0000  0.06
Ho: 0.5000 0.5000 0.5000  0.14

***

EuHo2Th | PBE-GGA | optimized geometry

For the size of the total moment, the calculation gives 7.67 μB per formula unit. For the volume, the calculation gives 135 Å³/cell. As for the formation energy: 45 meV per atom.

Cell lengths 3.6246, 3.6246, 10.2488 Å; angles 90.00, 90.00, 90.00 degrees
Last column: magnetic moment on the atom in μB.
Element x y z (fractional)
Ho: 0.0000 0.0000 0.2282  0.10
Ho: 0.0000 0.0000 0.7718  0.10
Eu: 0.5000 0.5000 0.5000  6.96
Th: 0.5000 0.5000 0.0000  -0.01

***

EuHo2Th | PBE-GGA | optimized geometry

For the size of the total moment, the calculation gives 7.47 μB per formula unit. For the volume, the calculation gives 133 Å³/cell. As for the formation energy: 45 meV per atom.

Cell lengths 3.6125, 3.6125, 11.9227 Å; angles 81.29, 81.29, 60.00 degrees
Last column: magnetic moment on the atom in μB.
Element x y z (fractional)
Ho: 0.7451 0.7451 0.7646  0.03
Ho: 0.2549 0.2549 0.2354  0.03
Eu: 0.5000 0.5000 0.5000  6.99
Th: 0.0000 0.0000 0.0000  -0.02